No. 1
This record from Alexandria via LeMat-Bulk describes a relaxed structure of Y2ZrRu. The functional is PBE.

Calculated values
Distance to the lowest polymorph of the same formula in eV/atom: 0.120
SG: Immm
M_tot in μB/f.u.: 0.00
Formation enthalpy at 0 K in eV/atom: -0.1197

Lattice parameters (Å, degrees): 6.140 6.140 6.140 146.78 131.62 59.95
Atoms (fractional coordinates):
Y  0.206  0.206  0.000
Y  0.794  0.794  0.000
Zr  0.500  0.000  0.500
Ru  0.000  0.500  0.500

=====

No. 2
This record from Alexandria via LeMat-Bulk describes a relaxed structure of Cs2AsIrF6. The functional is PBE.

Calculated values
ΔE_f (raw) in eV/atom: -1.739
SG: I4/mmm
M_tot in μB/f.u.: 1.35

Lattice parameters (Å, degrees): 6.917 6.917 6.917 128.18 128.18 76.33
Atoms (fractional coordinates):
Cs  0.250  0.750  0.500
Cs  0.750  0.250  0.500
As  0.000  0.000  0.000
Ir  0.500  0.500  0.000
F  0.249  0.249  0.498
F  0.249  0.751  0.000
F  0.312  0.312  0.000
F  0.688  0.688  0.000
F  0.751  0.249  0.000
F  0.751  0.751  0.502

=====

No. 3
This record from Alexandria via LeMat-Bulk describes a relaxed structure of PuUVSi. The functional is PBE.

Calculated values
ΔE_f (raw) in eV/atom: -0.056
SG: F-43m
M_tot in μB/f.u.: 4.90

Lattice parameters (Å, degrees): 4.647 4.647 4.647 60.00 60.00 60.00
Atoms (fractional coordinates):
Pu  0.000  0.000  0.000
U  0.750  0.750  0.750
V  0.500  0.500  0.500
Si  0.250  0.250  0.250

=====

No. 4
This record from Alexandria via LeMat-Bulk describes a relaxed structure of BaIr3W. The functional is PBE.

Calculated values
Distance to the lowest polymorph of the same formula in eV/atom: 2.763
SG: Pm-3m
M_tot in μB/f.u.: 0.00
Formation enthalpy at 0 K in eV/atom: 3.4852

Lattice parameters (Å, degrees): 4.939 4.939 4.939 90.00 90.00 90.00
Atoms (fractional coordinates):
Ba  0.000  0.000  0.000
Ir  0.000  0.000  0.500
Ir  0.000  0.500  0.000
Ir  0.500  0.000  0.000
W  0.500  0.500  0.500

=====

For the records above, the corresponding final energy values read -0.574, -0.322, -0.742, -0.353 Ry/atom.